TaCr2CdO8 | PBE+U | relaxed

* VASP energy: -86.90 eV for the cell shown
* M_tot: 0.25 μB per atom

a = 5.7757 Å, b = 5.7757 Å, c = 5.7757 Å
α = 106.88°, β = 106.88°, γ = 114.78°
Last column: nearest neighbours and their distance in Å.
Positions (direct):
Ta 0.0000 0.0000 0.0000  8 O 2.04-2.27
Cr 0.5000 0.5000 0.0000  4 O 1.72
Cr 0.7500 0.2500 0.5000  4 O 1.81
Cd 0.2500 0.7500 0.5000  4 O 2.24
O 0.3066 0.1281 0.8215  1 Cr 1.72
O 0.3066 0.4851 0.1785  1 Cr 1.72
O 0.3668 0.0795 0.2874  1 Cr 1.81
O 0.5149 0.6934 0.8215  1 Cr 1.72
O 0.7921 0.0795 0.7126  1 Cr 1.81
O 0.8719 0.6934 0.1785  1 Cr 1.72
O 0.9205 0.2079 0.2874  1 Cr 1.81
O 0.9205 0.6332 0.7126  1 Cr 1.81